[1]
First-principles (GGA-PBE) data for La2TbZn4Ge4 after structural relaxation, as listed in the Open Quantum Materials Database.

a b c (Å): 4.2219 4.2840 25.2913
angles (deg): 90.00 90.00 90.00
Closest atoms and distances in Å follow each position.
Space group Immm (No. 71)
Inequivalent atoms, fractional coordinates:
La 0.0000 0.0000 0.1445 [4 per cell]  6 Ge 3.22-3.23, 8 Zn 3.28-3.42
Tb 0.0000 0.5000 0.0000 [2 per cell]  4 Zn 3.16, 8 Ge 3.25
Zn 0.0000 0.0000 0.4073 [4 per cell]  3 Ge 2.42-2.48
Zn 0.0000 0.5000 0.2501 [4 per cell]  4 Ge 2.59-2.61
Ge 0.0000 0.0000 0.3092 [4 per cell]  5 Zn 2.48-2.61
Ge 0.0000 0.5000 0.4517 [4 per cell]  2 Zn 2.42, 1 Ge 2.44

Results
E_tot = -0.1487 Ha/atom
Magnetic moment = 0.0 Bohr magnetons per cell

***

[2]
First-principles (GGA-PBE) data for LaTcGe after structural relaxation, as listed in the Open Quantum Materials Database.

a b c (Å): 6.4759 6.4759 6.4759
angles (deg): 90.00 90.00 90.00
Closest atoms and distances in Å follow each position.
Space group F-43m (No. 216)
Inequivalent atoms, fractional coordinates:
La 0.0000 0.0000 0.0000 [4 per cell]  4 Tc 2.80
Tc 0.2500 0.2500 0.7500 [4 per cell]  4 Ge 2.80, 4 La 2.80
Ge 0.0000 0.0000 0.5000 [4 per cell]  4 Tc 2.80

Results
Polymorph energy (0 for the lowest one) = 0 meV/atom
E_tot = -0.2438 Ha/atom
Magnetic moment = 0.0 Bohr magnetons per cell

***

[3]
First-principles (GGA-PBE) data for LaTc4Ge2 after structural relaxation, as listed in the Open Quantum Materials Database.

a b c (Å): 4.2055 14.4680 4.1757
angles (deg): 90.00 90.00 90.00
Closest atoms and distances in Å follow each position.
Space group Cmmm (No. 65)
Inequivalent atoms, fractional coordinates:
La 0.0000 0.0000 0.0000 [2 per cell]  8 Ge 3.24, 8 Tc 3.54-3.58
Tc 0.0000 0.1973 0.5000 [4 per cell]  4 Tc 2.56-2.60, 2 Ge 2.61
Tc 0.0000 0.3001 0.0000 [4 per cell]  4 Tc 2.55-2.56, 2 Ge 2.62
Ge 0.0000 0.4097 0.5000 [4 per cell]  4 Tc 2.61-2.62, 1 Ge 2.61

Results
E_tot = -0.3072 Ha/atom
Magnetic moment = 0.0 Bohr magnetons per cell